1.
! CsBa2LiHg | Alexandria | PBE | optimized geometry; values from VASP
&SYSTEM
  ibrav = 0, nat = 5, ntyp = 4
/
ATOMIC_SPECIES
Cs 132.91 Cs.upf
Ba 137.33 Ba.upf
Li 6.94 Li.upf
Hg 200.59 Hg.upf
ATOMIC_POSITIONS angstrom
Cs 0.000 0.000 0.000
Ba 0.000 3.407 2.848
Ba 3.407 0.000 2.848
Li 3.407 3.407 0.000
Hg 3.407 3.407 2.848
CELL_PARAMETERS angstrom
6.814 0.000 0.000
0.000 6.814 0.000
0.000 0.000 5.695
! Total magnetic moment (μB/cell): 0.35
! Energy relative to the elements (meV per atom): -49
! Space-group type: P4/mmm (123)

=====

2.
! Cs2BaLiHg | Alexandria | PBE | optimized geometry; values from VASP
&SYSTEM
  ibrav = 0, nat = 5, ntyp = 4
/
ATOMIC_SPECIES
Cs 132.91 Cs.upf
Ba 137.33 Ba.upf
Li 6.94 Li.upf
Hg 200.59 Hg.upf
ATOMIC_POSITIONS angstrom
Cs 0.000 4.173 0.000
Cs 4.173 0.000 0.000
Ba 0.000 0.000 0.000
Li 4.173 4.173 3.170
Hg 0.000 0.000 3.170
CELL_PARAMETERS angstrom
8.345 0.000 0.000
0.000 8.345 0.000
0.000 0.000 6.341
! Total magnetic moment (μB/cell): 0.00
! Energy relative to the elements (meV per atom): 401
! Space-group type: P4/mmm (123)

=====

3.
! CsBa2MgHg | Alexandria | PBE | optimized geometry; values from VASP
&SYSTEM
  ibrav = 0, nat = 5, ntyp = 4
/
ATOMIC_SPECIES
Cs 132.91 Cs.upf
Ba 137.33 Ba.upf
Mg 24.30 Mg.upf
Hg 200.59 Hg.upf
ATOMIC_POSITIONS angstrom
Cs 0.000 0.000 0.000
Ba 0.000 3.400 2.814
Ba 3.400 0.000 2.814
Mg 3.400 3.400 0.000
Hg 3.400 3.400 2.814
CELL_PARAMETERS angstrom
6.800 0.000 0.000
0.000 6.800 0.000
0.000 0.000 5.629
! Total magnetic moment (μB/cell): 0.49
! Energy relative to the elements (meV per atom): -38
! Space-group type: P4/mmm (123)

=====

4.
! CsBa2NaHg | Alexandria | PBE | optimized geometry; values from VASP
&SYSTEM
  ibrav = 0, nat = 5, ntyp = 4
/
ATOMIC_SPECIES
Cs 132.91 Cs.upf
Ba 137.33 Ba.upf
Na 22.99 Na.upf
Hg 200.59 Hg.upf
ATOMIC_POSITIONS angstrom
Cs 0.000 0.000 0.000
Ba 0.000 3.387 3.212
Ba 3.387 0.000 3.212
Na 3.387 3.387 0.000
Hg 3.387 3.387 3.212
CELL_PARAMETERS angstrom
6.774 0.000 0.000
0.000 6.774 0.000
0.000 0.000 6.424
! Total magnetic moment (μB/cell): 0.00
! Energy relative to the elements (meV per atom): -80
! Excess energy over the best structure of this formula in the dataset (meV/atom): 0.0
! Space-group type: P4/mmm (123)

=====

5.
! CsBaNaHg | Alexandria | PBE | optimized geometry; values from VASP
&SYSTEM
  ibrav = 0, nat = 4, ntyp = 4
/
ATOMIC_SPECIES
Cs 132.91 Cs.upf
Ba 137.33 Ba.upf
Na 22.99 Na.upf
Hg 200.59 Hg.upf
ATOMIC_POSITIONS angstrom
Cs 0.000 0.000 0.000
Ba 6.531 6.531 6.531
Na 2.177 2.177 2.177
Hg 4.354 4.354 4.354
CELL_PARAMETERS angstrom
0.000 4.354 4.354
4.354 0.000 4.354
4.354 4.354 0.000
! Total magnetic moment (μB/cell): 0.00
! Energy relative to the elements (meV per atom): -12
! Space-group type: F-43m (216)

=====

6.
! CsBaNa2Hg | Alexandria | PBE | optimized geometry; values from VASP
&SYSTEM
  ibrav = 0, nat = 5, ntyp = 4
/
ATOMIC_SPECIES
Cs 132.91 Cs.upf
Ba 137.33 Ba.upf
Na 22.99 Na.upf
Hg 200.59 Hg.upf
ATOMIC_POSITIONS angstrom
Cs 0.000 0.000 0.000
Ba 3.177 3.177 0.000
Na 0.000 3.177 3.255
Na 3.177 0.000 3.255
Hg 3.177 3.177 3.255
CELL_PARAMETERS angstrom
6.355 0.000 0.000
0.000 6.355 0.000
0.000 0.000 6.511
! Total magnetic moment (μB/cell): 0.00
! Energy relative to the elements (meV per atom): -71
! Space-group type: P4/mmm (123)

=====

7.
! CsBa2NaHg | Alexandria | PBE | optimized geometry; values from VASP
&SYSTEM
  ibrav = 0, nat = 5, ntyp = 4
/
ATOMIC_SPECIES
Cs 132.91 Cs.upf
Ba 137.33 Ba.upf
Na 22.99 Na.upf
Hg 200.59 Hg.upf
ATOMIC_POSITIONS angstrom
Cs 0.000 0.000 0.000
Ba 0.000 3.350 3.620
Ba 3.350 0.000 3.620
Na 3.350 3.350 0.000
Hg 0.000 0.000 3.620
CELL_PARAMETERS angstrom
6.701 0.000 0.000
0.000 6.701 0.000
0.000 0.000 7.241
! Total magnetic moment (μB/cell): 0.00
! Energy relative to the elements (meV per atom): -50
! Excess energy over the best structure of this formula in the dataset (meV/atom): 30.0
! Space-group type: P4/mmm (123)

=====

8.
! CsBa2HgPd | Alexandria | PBE | optimized geometry; values from VASP
&SYSTEM
  ibrav = 0, nat = 5, ntyp = 4
/
ATOMIC_SPECIES
Cs 132.91 Cs.upf
Ba 137.33 Ba.upf
Hg 200.59 Hg.upf
Pd 106.42 Pd.upf
ATOMIC_POSITIONS angstrom
Cs 0.000 0.000 0.000
Ba 0.000 3.124 2.820
Ba 3.124 0.000 2.820
Hg 3.124 3.124 0.000
Pd 3.124 3.124 2.820
CELL_PARAMETERS angstrom
6.248 0.000 0.000
0.000 6.248 0.000
0.000 0.000 5.640
! Total magnetic moment (μB/cell): 0.00
! Energy relative to the elements (meV per atom): -191
! Space-group type: P4/mmm (123)

=====

> Which value of energy relative to the elements does entry 6 give?

-71 meV per atom

=====

> Among the records above, which one has the lowest energy relative to the elements?

CsBa2HgPd

=====

> Which formula does entry 5 have?

CsBaNaHg